Entry 1:
Pm7Pr2Y2 | the Alexandria database | PBE | optimized geometry; formation energy = 138 meV per atom; ΔE to the lowest computed polymorph = 0.03 eV per formula unit
1.0
4.295 -5.536 0.000
4.295 5.536 0.000
-2.341 0.000 8.040
Pm Pr Y
7 2 2
direct
0.000 0.000 0.000
0.095 0.504 0.833
0.425 0.425 0.182
0.496 0.905 0.167
0.504 0.095 0.833
0.575 0.575 0.818
0.905 0.496 0.167
0.283 0.717 0.500
0.717 0.283 0.500
0.191 0.191 0.468
0.809 0.809 0.532

Entry 2:
Sc3In2Au | the Alexandria database | PBE | optimized geometry; formation energy = -562 meV per atom
1.0
3.354 0.000 0.000
0.000 3.354 0.000
0.000 0.000 11.583
Sc In Au
3 2 1
direct
0.000 0.000 0.000
0.000 0.000 0.352
0.000 0.000 0.648
0.500 0.500 0.176
0.500 0.500 0.824
0.500 0.500 0.500

Entry 3:
CaDy2Ir | the Alexandria database | PBE | optimized geometry; formation energy = -288 meV per atom; ΔE to the lowest computed polymorph = 0.56 eV per formula unit
1.0
1.998 1.153 10.552
-1.998 1.153 10.552
0.000 -2.307 10.552
Ca Dy Ir
1 2 1
direct
0.000 0.000 0.000
0.120 0.120 0.120
0.880 0.880 0.880
0.500 0.500 0.500

Entry 4:
Ta2Zn2Re | the Alexandria database | PBE | optimized geometry; formation energy = 57 meV per atom
1.0
6.732 0.000 0.000
0.000 6.732 0.000
0.000 0.000 3.438
Ta Zn Re
4 4 2
direct
0.178 0.322 0.000
0.322 0.822 0.000
0.678 0.178 0.000
0.822 0.678 0.000
0.124 0.624 0.500
0.376 0.124 0.500
0.624 0.876 0.500
0.876 0.376 0.500
0.000 0.000 0.500
0.500 0.500 0.500

Entry 5:
PmDy2PuP4 | the Alexandria database | PBE | optimized geometry; formation energy = -1472 meV per atom
1.0
6.974 0.000 0.000
0.000 4.041 0.000
-2.332 0.000 6.583
Pm Dy Pu P
1 2 1 4
direct
0.000 0.000 0.000
0.500 0.000 0.500
0.500 0.500 0.000
0.000 0.500 0.500
0.249 0.000 0.744
0.254 0.500 0.257
0.746 0.500 0.743
0.751 0.000 0.256

Entry 6:
InMoP | the Alexandria database | PBE | optimized geometry; formation energy = -144 meV per atom; ΔE to the lowest computed polymorph = 0.00 eV per formula unit
1.0
-1.617 1.617 4.892
1.617 -1.617 4.892
1.617 1.617 -4.892
In Mo P
1 1 1
direct
0.000 0.000 0.000
0.299 0.299 0.000
0.700 0.700 0.000

Entry 7:
HfHgPd3 | the Alexandria database | PBE | optimized geometry; formation energy = 503 meV per atom; ΔE to the lowest computed polymorph = 5.02 eV per formula unit
1.0
4.908 0.000 0.000
0.000 4.908 0.000
0.000 0.000 4.908
Hf Hg Pd
1 1 3
direct
0.000 0.000 0.000
0.500 0.500 0.500
0.000 0.000 0.500
0.000 0.500 0.000
0.500 0.000 0.000

Entry 8:
BaZrBr2 | the Alexandria database | PBE | optimized geometry; ΔE to the lowest computed polymorph = 0.86 eV per formula unit
1.0
-2.848 2.848 8.859
2.848 -2.848 8.859
2.848 2.848 -8.859
Ba Zr Br
2 2 4
direct
0.000 0.000 0.000
0.750 0.250 0.500
0.250 0.750 0.500
0.500 0.500 0.000
0.215 0.625 0.090
0.375 0.465 0.590
0.535 0.125 0.910
0.875 0.785 0.410

Entry 9:
AsRu2W | the Alexandria database | PBE | optimized geometry; formation energy = 645 meV per atom
1.0
-2.768 2.768 5.556
2.768 -2.768 5.556
2.768 2.768 -5.556
As Ru W
2 4 2
direct
0.000 0.000 0.000
0.750 0.250 0.500
0.119 0.625 0.994
0.375 0.369 0.494
0.631 0.125 0.006
0.875 0.881 0.506
0.250 0.750 0.500
0.500 0.500 0.000

Entry 10:
LaZrCu | the Alexandria database | PBE | optimized geometry; formation energy = -50 meV per atom; ΔE to the lowest computed polymorph = 0.00 eV per formula unit
1.0
3.449 0.000 0.000
0.000 5.093 0.000
-1.722 0.000 8.113
La Zr Cu
2 2 2
direct
0.076 0.250 0.150
0.924 0.750 0.850
0.235 0.750 0.470
0.765 0.250 0.530
0.396 0.250 0.791
0.604 0.750 0.209

Entry 11:
Nd6Te3AsSe2 | the Alexandria database | PBE | optimized geometry; E_tot = -5.76 eV per atom
1.0
3.755 -6.504 0.000
3.755 6.504 0.000
-2.503 0.000 7.290
Nd Te As Se
6 3 1 2
direct
0.073 0.401 0.219
0.254 0.254 0.781
0.401 0.073 0.219
0.599 0.927 0.781
0.746 0.746 0.219
0.927 0.599 0.781
0.168 0.832 0.500
0.500 0.500 0.500
0.832 0.168 0.500
0.000 0.000 0.000
0.334 0.666 0.000
0.666 0.334 0.000